Material: Cs4Ag3AuBr12
Method: DFT, GGA-PBE
State: optimized geometry

a b c (Å): 9.5171 9.5171 9.5171
angles (deg): 109.47 109.47 109.47
Sites, in units of the cell vectors:
Cs 0.0000 0.0000 0.5000
Cs 0.0000 0.5000 0.0000
Cs 0.5000 0.0000 0.0000
Cs 0.5000 0.5000 0.5000
Ag 0.0000 0.5000 0.5000
Ag 0.5000 0.0000 0.5000
Ag 0.5000 0.5000 0.0000
Au 0.0000 0.0000 0.0000
Br 0.0000 0.2427 0.2427
Br 0.0000 0.7573 0.7573
Br 0.2427 0.0000 0.2427
Br 0.2427 0.2427 0.0000
Br 0.2500 0.5000 0.7500
Br 0.2500 0.7500 0.5000
Br 0.5000 0.2500 0.7500
Br 0.5000 0.7500 0.2500
Br 0.7500 0.2500 0.5000
Br 0.7500 0.5000 0.2500
Br 0.7573 0.0000 0.7573
Br 0.7573 0.7573 0.0000

Magnetization = 0.00 μB per formula unit
DFT total energy = -2.66 eV/atom
SG = Im-3m, No. 229
Mass density = 5.0 g/cm3
ΔE_f (raw) = -0.890 eV per atom